# BeSiBr2 (GGA-PBEsol, optimized geometry)
# - DOS(E_F): 2.2 states/eV/cell
# - E_tot: -3.247 eV/atom
# - Magnetization: 0.00 μB per cell
# - ΔE_f (raw): 0.124 eV per atom
data_BeSiBr2
_chemical_formula_sum 'Be2 Si2 Br4'
_cell_length_a 11.6709
_cell_length_b 3.1807
_cell_length_c 5.0797
_cell_angle_alpha 90.00
_cell_angle_beta 106.13
_cell_angle_gamma 90.00
_symmetry_space_group_name_H-M 'C 1 2/m 1'
_symmetry_Int_Tables_number 12
loop_
_symmetry_equiv_pos_as_xyz
'x,y,z'
'-x,-y,-z'
'-x,y,-z'
'x,-y,z'
'x+1/2,y+1/2,z'
'-x+1/2,-y+1/2,-z'
'-x+1/2,y+1/2,-z'
'x+1/2,-y+1/2,z'
loop_
_atom_site_label
_atom_site_type_symbol
_atom_site_fract_x
_atom_site_fract_y
_atom_site_fract_z
Be1 Be 0.0000 0.0000 0.0000
Si1 Si 0.0000 0.5000 0.5000
Br1 Br 0.1441 0.5000 0.1744